[1]
Compound: Hg2MoW
Source: Alexandria
Functional: PBE
Structure: optimized geometry

Cell lengths 3.9966, 3.9966, 4.5275 Å; angles 90.00, 90.00, 90.00 degrees
Atoms (fractional coordinates):
Hg (0.0000, 0.5000, 0.0000)
Hg (0.5000, 0.0000, 0.0000)
Mo (0.0000, 0.0000, 0.5000)
W (0.5000, 0.5000, 0.5000)

Properties
E ... -5.298 eV per atom
SG ... P4/mmm, No. 123
Total magnetization ... 0.00 μB per formula unit
Polymorph energy (0 for the lowest one) ... 353.9 meV per atom

---

[2]
Compound: Ac2TmSc
Source: Alexandria
Functional: PBE
Structure: optimized geometry

Cell lengths 3.6414, 3.6414, 38.0197 Å; angles 90.00, 90.00, 120.00 degrees
Atoms (fractional coordinates):
Ac (0.0000, 0.0000, 0.0866)
Ac (0.0000, 0.0000, 0.9134)
Ac (0.3333, 0.6667, 0.5801)
Ac (0.3333, 0.6667, 0.7532)
Ac (0.6667, 0.3333, 0.2468)
Ac (0.6667, 0.3333, 0.4199)
Tm (0.0000, 0.0000, 0.5000)
Tm (0.3333, 0.6667, 0.1667)
Tm (0.6667, 0.3333, 0.8333)
Sc (0.0000, 0.0000, 0.0000)
Sc (0.3333, 0.6667, 0.6667)
Sc (0.6667, 0.3333, 0.3333)

Properties
E ... -4.416 eV per atom
SG ... R-3m, No. 166
Total magnetization ... 0.00 μB per formula unit
Polymorph energy (0 for the lowest one) ... 260.1 meV per atom

---

[3]
Compound: Ho2ThCr2C4
Source: Alexandria
Functional: PBE
Structure: optimized geometry

Cell lengths 6.8047, 6.8047, 6.1634 Å; angles 111.83, 111.83, 29.21 degrees
Atoms (fractional coordinates):
Ho (0.1363, 0.1363, 0.0499)
Ho (0.8637, 0.8637, 0.9501)
Th (0.0000, 0.0000, 0.5000)
Cr (0.3193, 0.3193, 0.5217)
Cr (0.6807, 0.6807, 0.4783)
C (0.2193, 0.2193, 0.6900)
C (0.4635, 0.4635, 0.7718)
C (0.5365, 0.5365, 0.2282)
C (0.7807, 0.7807, 0.3100)

Properties
E ... -8.129 eV per atom
SG ... C2/m, No. 12
Total magnetization ... 0.00 μB per formula unit

---

[4]
Compound: LiHfZn3
Source: Alexandria
Functional: PBE
Structure: optimized geometry

Cell lengths 7.6599, 7.6599, 4.7928 Å; angles 90.00, 90.00, 141.49 degrees
Atoms (fractional coordinates):
Li (0.0673, 0.9327, 0.7500)
Li (0.9327, 0.0673, 0.2500)
Hf (0.3006, 0.6994, 0.2500)
Hf (0.6994, 0.3006, 0.7500)
Zn (0.1140, 0.3796, 0.7500)
Zn (0.3796, 0.1140, 0.2500)
Zn (0.5000, 0.5000, 0.0000)
Zn (0.5000, 0.5000, 0.5000)
Zn (0.6204, 0.8860, 0.7500)
Zn (0.8860, 0.6204, 0.2500)

Properties
E ... -3.130 eV per atom
SG ... Cmcm, No. 63
Total magnetization ... 0.00 μB per formula unit
Polymorph energy (0 for the lowest one) ... 0.0 meV per atom

---

[5]
Compound: Nd3H12Au5
Source: Alexandria
Functional: PBE
Structure: optimized geometry

Cell lengths 10.8238, 10.8238, 10.8238 Å; angles 109.47, 109.47, 109.47 degrees
Atoms (fractional coordinates):
Nd (0.1250, 0.2500, 0.3750)
Nd (0.1250, 0.3750, 0.7500)
Nd (0.2500, 0.3750, 0.1250)
Nd (0.2500, 0.8750, 0.6250)
Nd (0.3750, 0.1250, 0.2500)
Nd (0.3750, 0.7500, 0.1250)
Nd (0.6250, 0.2500, 0.8750)
Nd (0.6250, 0.8750, 0.7500)
Nd (0.7500, 0.1250, 0.3750)
Nd (0.7500, 0.6250, 0.8750)
Nd (0.8750, 0.6250, 0.2500)
Nd (0.8750, 0.7500, 0.6250)
H (0.0234, 0.2030, 0.1217)
H (0.0234, 0.3204, 0.9017)
H (0.0813, 0.7030, 0.6796)
H (0.0813, 0.8783, 0.4017)
H (0.0983, 0.6217, 0.4187)
H (0.0983, 0.9766, 0.6796)
H (0.1217, 0.0234, 0.2030)
H (0.1217, 0.5983, 0.9187)
H (0.1796, 0.2030, 0.5813)
H (0.1796, 0.4766, 0.5983)
H (0.2030, 0.1217, 0.0234)
H (0.2030, 0.5813, 0.1796)
H (0.2970, 0.3204, 0.9187)
H (0.2970, 0.4766, 0.3783)
H (0.3204, 0.9017, 0.0234)
H (0.3204, 0.9187, 0.2970)
H (0.3783, 0.2970, 0.4766)
H (0.3783, 0.5813, 0.9017)
H (0.4017, 0.0813, 0.8783)
H (0.4017, 0.8204, 0.5234)
H (0.4187, 0.0983, 0.6217)
H (0.4187, 0.8204, 0.7970)
H (0.4766, 0.3783, 0.2970)
H (0.4766, 0.5983, 0.1796)
H (0.5234, 0.4017, 0.8204)
H (0.5234, 0.6217, 0.7030)
H (0.5813, 0.1796, 0.2030)
H (0.5813, 0.9017, 0.3783)
H (0.5983, 0.1796, 0.4766)
H (0.5983, 0.9187, 0.1217)
H (0.6217, 0.4187, 0.0983)
H (0.6217, 0.7030, 0.5234)
H (0.6796, 0.0813, 0.7030)
H (0.6796, 0.0983, 0.9766)
H (0.7030, 0.5234, 0.6217)
H (0.7030, 0.6796, 0.0813)
H (0.7970, 0.4187, 0.8204)
H (0.7970, 0.8783, 0.9766)
H (0.8204, 0.5234, 0.4017)
H (0.8204, 0.7970, 0.4187)
H (0.8783, 0.4017, 0.0813)
H (0.8783, 0.9766, 0.7970)
H (0.9017, 0.0234, 0.3204)
H (0.9017, 0.3783, 0.5813)
H (0.9187, 0.1217, 0.5983)
H (0.9187, 0.2970, 0.3204)
H (0.9766, 0.6796, 0.0983)
H (0.9766, 0.7970, 0.8783)
Au (0.0000, 0.0000, 0.0000)
Au (0.0000, 0.0000, 0.5000)
Au (0.0000, 0.5000, 0.0000)
Au (0.0000, 0.5000, 0.5000)
Au (0.1250, 0.7500, 0.8750)
Au (0.1250, 0.8750, 0.2500)
Au (0.2500, 0.1250, 0.8750)
Au (0.2500, 0.6250, 0.3750)
Au (0.3750, 0.2500, 0.6250)
Au (0.3750, 0.6250, 0.7500)
Au (0.5000, 0.0000, 0.0000)
Au (0.5000, 0.0000, 0.5000)
Au (0.5000, 0.5000, 0.0000)
Au (0.5000, 0.5000, 0.5000)
Au (0.6250, 0.3750, 0.2500)
Au (0.6250, 0.7500, 0.3750)
Au (0.7500, 0.3750, 0.6250)
Au (0.7500, 0.8750, 0.1250)
Au (0.8750, 0.1250, 0.7500)
Au (0.8750, 0.2500, 0.1250)

Properties
E ... -3.686 eV per atom
SG ... Ia-3d, No. 230
Total magnetization ... 0.00 μB per formula unit

---

[6]
Compound: LaSb
Source: Alexandria
Functional: PBE
Structure: optimized geometry

Cell lengths 3.4913, 3.4913, 12.5740 Å; angles 90.00, 90.00, 120.00 degrees
Atoms (fractional coordinates):
La (0.3333, 0.6667, 0.1331)
La (0.6667, 0.3333, 0.8669)
Sb (0.3333, 0.6667, 0.6486)
Sb (0.6667, 0.3333, 0.3514)

Properties
E ... -4.615 eV per atom
SG ... P-3m1, No. 164
Total magnetization ... 0.00 μB per formula unit
Formation energy (no corrections) ... -0.2 eV per formula unit

---

[7]
Compound: BeAsCl2
Source: Alexandria
Functional: PBE
Structure: optimized geometry

Cell lengths 6.3960, 6.3960, 8.9610 Å; angles 90.00, 90.00, 90.00 degrees
Atoms (fractional coordinates):
Be (0.0000, 0.0000, 0.0000)
Be (0.0000, 0.5000, 0.2500)
Be (0.5000, 0.0000, 0.7500)
Be (0.5000, 0.5000, 0.5000)
As (0.0000, 0.0000, 0.5000)
As (0.0000, 0.5000, 0.7500)
As (0.5000, 0.0000, 0.2500)
As (0.5000, 0.5000, 0.0000)
Cl (0.0794, 0.7500, 0.1250)
Cl (0.2500, 0.0794, 0.8750)
Cl (0.2500, 0.4206, 0.3750)
Cl (0.4206, 0.7500, 0.6250)
Cl (0.5794, 0.2500, 0.6250)
Cl (0.7500, 0.5794, 0.3750)
Cl (0.7500, 0.9206, 0.8750)
Cl (0.9206, 0.2500, 0.1250)

Properties
E ... -3.131 eV per atom
SG ... I-42d, No. 122
Total magnetization ... 0.00 μB per formula unit
Formation energy (no corrections) ... -0.5 eV per formula unit
Polymorph energy (0 for the lowest one) ... 412.6 meV per atom

---

[8]
Compound: CoSb2Mo
Source: Alexandria
Functional: PBE
Structure: optimized geometry

Cell lengths 3.1139, 3.1139, 30.7596 Å; angles 90.00, 90.00, 120.00 degrees
Atoms (fractional coordinates):
Co (0.0000, 0.0000, 0.0000)
Co (0.3333, 0.6667, 0.6667)
Co (0.6667, 0.3333, 0.3333)
Sb (0.0000, 0.0000, 0.2690)
Sb (0.0000, 0.0000, 0.4655)
Sb (0.3333, 0.6667, 0.1322)
Sb (0.3333, 0.6667, 0.9357)
Sb (0.6667, 0.3333, 0.6024)
Sb (0.6667, 0.3333, 0.7988)
Mo (0.0000, 0.0000, 0.7261)
Mo (0.3333, 0.6667, 0.3928)
Mo (0.6667, 0.3333, 0.0594)

Properties
E ... -6.153 eV per atom
SG ... R3m, No. 160
Total magnetization ... 1.28 μB per formula unit
Formation energy (no corrections) ... 1.6 eV per formula unit

---

[9]
Compound: ReWBr
Source: Alexandria
Functional: PBE
Structure: optimized geometry

Cell lengths 3.1213, 5.1614, 13.9278 Å; angles 90.00, 90.00, 90.00 degrees
Atoms (fractional coordinates):
Re (0.0000, 0.0000, 0.0000)
Re (0.0000, 0.5000, 0.5000)
Re (0.5000, 0.0000, 0.5000)
Re (0.5000, 0.5000, 0.0000)
W (0.0000, 0.0000, 0.6355)
W (0.0000, 0.5000, 0.1355)
W (0.5000, 0.0000, 0.1355)
W (0.5000, 0.5000, 0.6355)
Br (0.0000, 0.0000, 0.3044)
Br (0.0000, 0.5000, 0.8044)
Br (0.5000, 0.0000, 0.8044)
Br (0.5000, 0.5000, 0.3044)

Properties
E ... -8.171 eV per atom
SG ... Fmm2, No. 42
Total magnetization ... 0.00 μB per formula unit
Formation energy (no corrections) ... 2.6 eV per formula unit
Polymorph energy (0 for the lowest one) ... 259.2 meV per atom

---

[10]
Compound: Dy3Sn12Hg5
Source: Alexandria
Functional: PBE
Structure: optimized geometry

Cell lengths 15.3290, 15.3290, 15.3290 Å; angles 109.47, 109.47, 109.47 degrees
Atoms (fractional coordinates):
Dy (0.1250, 0.2500, 0.3750)
Dy (0.1250, 0.3750, 0.7500)
Dy (0.2500, 0.3750, 0.1250)
Dy (0.2500, 0.8750, 0.6250)
Dy (0.3750, 0.1250, 0.2500)
Dy (0.3750, 0.7500, 0.1250)
Dy (0.6250, 0.2500, 0.8750)
Dy (0.6250, 0.8750, 0.7500)
Dy (0.7500, 0.1250, 0.3750)
Dy (0.7500, 0.6250, 0.8750)
Dy (0.8750, 0.6250, 0.2500)
Dy (0.8750, 0.7500, 0.6250)
Sn (0.0695, 0.2228, 0.1426)
Sn (0.0695, 0.3467, 0.9269)
Sn (0.0731, 0.6426, 0.4198)
Sn (0.0731, 0.9305, 0.6533)
Sn (0.0802, 0.7228, 0.6533)
Sn (0.0802, 0.8574, 0.4269)
Sn (0.1426, 0.0695, 0.2228)
Sn (0.1426, 0.5731, 0.9198)
Sn (0.1533, 0.2228, 0.5802)
Sn (0.1533, 0.4305, 0.5731)
Sn (0.2228, 0.1426, 0.0695)
Sn (0.2228, 0.5802, 0.1533)
Sn (0.2772, 0.3467, 0.9198)
Sn (0.2772, 0.4305, 0.3574)
Sn (0.3467, 0.9198, 0.2772)
Sn (0.3467, 0.9269, 0.0695)
Sn (0.3574, 0.2772, 0.4305)
Sn (0.3574, 0.5802, 0.9269)
Sn (0.4198, 0.0731, 0.6426)
Sn (0.4198, 0.8467, 0.7772)
Sn (0.4269, 0.0802, 0.8574)
Sn (0.4269, 0.8467, 0.5695)
Sn (0.4305, 0.3574, 0.2772)
Sn (0.4305, 0.5731, 0.1533)
Sn (0.5695, 0.4269, 0.8467)
Sn (0.5695, 0.6426, 0.7228)
Sn (0.5731, 0.1533, 0.4305)
Sn (0.5731, 0.9198, 0.1426)
Sn (0.5802, 0.1533, 0.2228)
Sn (0.5802, 0.9269, 0.3574)
Sn (0.6426, 0.4198, 0.0731)
Sn (0.6426, 0.7228, 0.5695)
Sn (0.6533, 0.0731, 0.9305)
Sn (0.6533, 0.0802, 0.7228)
Sn (0.7228, 0.5695, 0.6426)
Sn (0.7228, 0.6533, 0.0802)
Sn (0.7772, 0.4198, 0.8467)
Sn (0.7772, 0.8574, 0.9305)
Sn (0.8467, 0.5695, 0.4269)
Sn (0.8467, 0.7772, 0.4198)
Sn (0.8574, 0.4269, 0.0802)
Sn (0.8574, 0.9305, 0.7772)
Sn (0.9198, 0.1426, 0.5731)
Sn (0.9198, 0.2772, 0.3467)
Sn (0.9269, 0.0695, 0.3467)
Sn (0.9269, 0.3574, 0.5802)
Sn (0.9305, 0.6533, 0.0731)
Sn (0.9305, 0.7772, 0.8574)
Hg (0.0000, 0.0000, 0.0000)
Hg (0.0000, 0.0000, 0.5000)
Hg (0.0000, 0.5000, 0.0000)
Hg (0.0000, 0.5000, 0.5000)
Hg (0.1250, 0.7500, 0.8750)
Hg (0.1250, 0.8750, 0.2500)
Hg (0.2500, 0.1250, 0.8750)
Hg (0.2500, 0.6250, 0.3750)
Hg (0.3750, 0.2500, 0.6250)
Hg (0.3750, 0.6250, 0.7500)
Hg (0.5000, 0.0000, 0.0000)
Hg (0.5000, 0.0000, 0.5000)
Hg (0.5000, 0.5000, 0.0000)
Hg (0.5000, 0.5000, 0.5000)
Hg (0.6250, 0.3750, 0.2500)
Hg (0.6250, 0.7500, 0.3750)
Hg (0.7500, 0.3750, 0.6250)
Hg (0.7500, 0.8750, 0.1250)
Hg (0.8750, 0.1250, 0.7500)
Hg (0.8750, 0.2500, 0.1250)

Properties
E ... -3.108 eV per atom
SG ... Ia-3d, No. 230
Total magnetization ... 0.00 μB per formula unit